No. 1
## SrCdBr (PBE)

Data for a relaxed SrCdBr crystal.

Values from the calculation:
Symmetry: No. 38
Raw formation energy, eV/atom: -0.89
Energy relative to the lowest polymorph listed for this composition, eV/atom: 0.000

Cell: 15.5312 4.3714 4.3714 Å, 60.17 90.00 90.00°
Sites, in units of the cell vectors:
Sr  0.1572  0.0000  0.0000
Sr  0.8428  0.0000  0.0000
Cd  0.0000  0.3342  0.3342
Cd  0.5000  0.0003  0.0003
Br  0.2695  0.3339  0.3339
Br  0.7305  0.3339  0.3339


No. 2
## Ce6BO12 (PBE)

Data for a relaxed Ce6BO12 crystal.

Values from the calculation:
Symmetry: No. 148
Raw formation energy, eV/atom: -2.99

Cell: 6.5136 6.5136 6.5136 Å, 98.86 98.86 98.86°
Sites, in units of the cell vectors:
Ce  0.0979  0.7803  0.6315
Ce  0.2197  0.3685  0.9021
Ce  0.3685  0.9021  0.2197
Ce  0.6315  0.0979  0.7803
Ce  0.7803  0.6315  0.0979
Ce  0.9021  0.2197  0.3685
B  0.5000  0.5000  0.5000
O  0.0581  0.9060  0.3228
O  0.0940  0.6772  0.9419
O  0.2189  0.4378  0.5309
O  0.3228  0.0581  0.9060
O  0.4378  0.5309  0.2189
O  0.4691  0.7811  0.5622
O  0.5309  0.2189  0.4378
O  0.5622  0.4691  0.7811
O  0.6772  0.9419  0.0940
O  0.7811  0.5622  0.4691
O  0.9060  0.3228  0.0581
O  0.9419  0.0940  0.6772


Look up the raw formation energy of the second one.
-2.99 eV/atom


Among the records above, which one has the highest raw formation energy?
SrCdBr


Repeat the first record exactly.
## SrCdBr (PBE)

Data for a relaxed SrCdBr crystal.

Values from the calculation:
Symmetry: No. 38
Raw formation energy, eV/atom: -0.89
Energy relative to the lowest polymorph listed for this composition, eV/atom: 0.000

Cell: 15.5312 4.3714 4.3714 Å, 60.17 90.00 90.00°
Sites, in units of the cell vectors:
Sr  0.1572  0.0000  0.0000
Sr  0.8428  0.0000  0.0000
Cd  0.0000  0.3342  0.3342
Cd  0.5000  0.0003  0.0003
Br  0.2695  0.3339  0.3339
Br  0.7305  0.3339  0.3339


Repeat the first record exactly.
## SrCdBr (PBE)

Data for a relaxed SrCdBr crystal.

Values from the calculation:
Symmetry: No. 38
Raw formation energy, eV/atom: -0.89
Energy relative to the lowest polymorph listed for this composition, eV/atom: 0.000

Cell: 15.5312 4.3714 4.3714 Å, 60.17 90.00 90.00°
Sites, in units of the cell vectors:
Sr  0.1572  0.0000  0.0000
Sr  0.8428  0.0000  0.0000
Cd  0.0000  0.3342  0.3342
Cd  0.5000  0.0003  0.0003
Br  0.2695  0.3339  0.3339
Br  0.7305  0.3339  0.3339